[1]
# BeAl2Cu

BeAl2Cu after structural relaxation (PBE-GGA, Alexandria via LeMat-Bulk).

Space group: C2/m (12)
Fermi-level density of states, states/eV per atom: 0.429
Energy of formation from the pure elements, eV per formula unit: 0.23
Magnetic moment, μB/cell: 0.0

Lattice parameters (Å, degrees): 4.519 6.007 2.708 63.06 90.08 121.93
Atoms (fractional coordinates):
Al 0.000 0.500 0.500
Be 0.500 0.500 0.000
Cu 0.500 0.000 0.500
Al 0.000 0.000 0.000

[2]
# Fe2Re

Fe2Re after structural relaxation (PBE-GGA, Alexandria via LeMat-Bulk).

Space group: C2/m (12)
Fermi-level density of states, states/eV per atom: 1.153
Energy of formation from the pure elements, eV per formula unit: 0.29
Magnetic moment, μB/cell: 0.0

Lattice parameters (Å, degrees): 4.867 4.867 6.073 75.93 75.93 31.14
Atoms (fractional coordinates):
Fe 0.634 0.634 0.970
Re 0.312 0.312 0.651
Fe 0.030 0.030 0.704
Fe 0.970 0.970 0.296
Re 0.688 0.688 0.349
Fe 0.366 0.366 0.030

[3]
# Pm3In4Hg2

Pm3In4Hg2 after structural relaxation (PBE-GGA, Alexandria via LeMat-Bulk).

Space group: P-62m (189)
Fermi-level density of states, states/eV per atom: 0.552
Energy of formation from the pure elements, eV per formula unit: -3.83
Offset from the most stable computed form, meV per atom: 35
Magnetic moment, μB/cell: 0.0

Lattice parameters (Å, degrees): 4.488 7.884 7.884 120.00 90.00 90.00
Atoms (fractional coordinates):
In 0.000 0.000 0.742
Hg 0.000 0.333 0.667
In 0.500 0.000 0.000
Pm 0.500 0.000 0.405
Pm 0.500 0.595 0.595
Hg 0.000 0.667 0.333
Pm 0.500 0.405 0.000
In 0.000 0.258 0.258
In 0.000 0.742 0.000

[4]
# Re2Cl

Re2Cl after structural relaxation (PBE-GGA, Alexandria via LeMat-Bulk).

ΔE_f (raw), eV per atom: 0.99
Space group: Cmcm (63)
Fermi-level density of states, states/eV per atom: 0.773
Offset from the most stable computed form, meV per atom: 808
Magnetic moment, μB/cell: 0.0

Lattice parameters (Å, degrees): 7.015 7.015 4.647 90.00 90.00 156.27
Atoms (fractional coordinates):
Re 0.700 0.300 0.250
Re 0.963 0.037 0.750
Cl 0.629 0.371 0.750
Re 0.300 0.700 0.750
Cl 0.371 0.629 0.250
Re 0.037 0.963 0.250

[5]
# NaGd2Cd

NaGd2Cd after structural relaxation (PBE-GGA, Alexandria via LeMat-Bulk).

Space group: P4/mmm (123)
Fermi-level density of states, states/eV per atom: 1.712
Energy of formation from the pure elements, eV per formula unit: -0.07
Offset from the most stable computed form, meV per atom: 0
Magnetic moment, μB/cell: 15.2

Lattice parameters (Å, degrees): 3.738 3.738 8.763 90.00 90.00 90.00
Atoms (fractional coordinates):
Na 0.500 0.500 0.500
Gd 0.000 0.000 0.210
Gd 0.000 0.000 0.790
Cd 0.500 0.500 0.000

[6]
# SrPmMgAg

SrPmMgAg after structural relaxation (PBE-GGA, Alexandria via LeMat-Bulk).

Space group: F-43m (216)
Fermi-level density of states, states/eV per atom: 0.867
Energy of formation from the pure elements, eV per formula unit: -0.35
Magnetic moment, μB/cell: 0.0

Lattice parameters (Å, degrees): 5.525 5.525 5.525 60.00 60.00 60.00
Atoms (fractional coordinates):
Mg 0.750 0.750 0.750
Ag 0.250 0.250 0.250
Sr 0.500 0.500 0.500
Pm 0.000 0.000 0.000

[7]
# YAl4Sb

YAl4Sb after structural relaxation (PBE-GGA, Alexandria via LeMat-Bulk).

ΔE_f (raw), eV per atom: -0.21
Space group: F-43m (216)
Fermi-level density of states, states/eV per atom: 0.691
Magnetic moment, μB/cell: 0.0

Lattice parameters (Å, degrees): 5.549 5.549 5.549 60.00 60.00 60.00
Atoms (fractional coordinates):
Y 0.000 0.000 0.000
Al 0.375 0.375 0.875
Al 0.375 0.875 0.375
Al 0.875 0.375 0.375
Al 0.375 0.375 0.375
Sb 0.750 0.750 0.750

[8]
# PrBi2Pb

PrBi2Pb after structural relaxation (PBE-GGA, Alexandria via LeMat-Bulk).

Space group: P4/nmm (129)
Fermi-level density of states, states/eV per atom: 0.492
Energy of formation from the pure elements, eV per formula unit: -1.82
Offset from the most stable computed form, meV per atom: 0
Magnetic moment, μB/cell: 0.0

Lattice parameters (Å, degrees): 4.685 4.685 11.617 90.00 90.00 90.00
Atoms (fractional coordinates):
Bi 0.500 0.500 0.500
Bi 0.500 0.000 0.233
Pb 0.000 0.000 0.000
Pb 0.500 0.500 0.000
Pr 0.500 0.000 0.725
Bi 0.000 0.500 0.767
Pr 0.000 0.500 0.275
Bi 0.000 0.000 0.500

- Which of these has the highest magnetic moment?
  NaGd2Cd

- What is the Fermi-level density of states in the fifth record?
  1.712 states/eV per atom

Please write out number 5 again, unchanged.
# NaGd2Cd

NaGd2Cd after structural relaxation (PBE-GGA, Alexandria via LeMat-Bulk).

Space group: P4/mmm (123)
Fermi-level density of states, states/eV per atom: 1.712
Energy of formation from the pure elements, eV per formula unit: -0.07
Offset from the most stable computed form, meV per atom: 0
Magnetic moment, μB/cell: 15.2

Lattice parameters (Å, degrees): 3.738 3.738 8.763 90.00 90.00 90.00
Atoms (fractional coordinates):
Na 0.500 0.500 0.500
Gd 0.000 0.000 0.210
Gd 0.000 0.000 0.790
Cd 0.500 0.500 0.000

- Which of these has the highest magnetic moment?
  NaGd2Cd